{
  "formula": "Be2AlCo2",
  "functional": "GGA-PBEsol",
  "state": "relaxed",
  "volume_a3_per_atom": 9.44,
  "energy_ev_per_atom": -5.9126,
  "relative_energy_mev_per_atom": 0,
  "magmom_total_mub_per_fu": 0.00,
  "sg": "P4/mbm",
  "formation_enthalpy_0k_ev_per_atom": -0.399,
  "lattice_angstrom": [[5.994, 0.000, 0.000], [0.000, 5.994, 0.000], [0.000, 0.000, 2.628]],
  "species": ["Be", "Be", "Be", "Be", "Al", "Al", "Co", "Co", "Co", "Co"],
  "fractional_positions": [[0.121, 0.379, 0.000], [0.379, 0.879, 0.000], [0.621, 0.121, 0.000], [0.879, 0.621, 0.000], [0.000, 0.000, 0.000], [0.500, 0.500, 0.000], [0.172, 0.672, 0.500], [0.328, 0.172, 0.500], [0.672, 0.828, 0.500], [0.828, 0.328, 0.500]]
}